Record 1
Below is a relaxed CdIn3Bi crystal, with properties calculated at the PBE level.

Cell lengths 5.4992, 5.4992, 5.4992 Å; angles 90.00, 90.00, 90.00 degrees
Last column: nearest neighbours and their distance in Å.
Positions (direct):
Cd  0.0000  0.0000  0.0000  6 In 2.75
In  0.0000  0.0000  0.5000  2 Cd 2.75
In  0.0000  0.5000  0.0000  2 Cd 2.75
In  0.5000  0.0000  0.0000  2 Cd 2.75
Bi  0.5000  0.5000  0.5000  12 In 3.89

## Properties
* energy of formation from the pure elements: 0.340 eV/atom
* SG: Pm-3m, No. 221
* energy relative to the lowest polymorph listed for this composition: 0.305 eV per atom

***

Record 2
Below is a relaxed Nd5ScBi5 crystal, with properties calculated at the PBE level.

Cell lengths 7.8222, 7.8222, 8.9756 Å; angles 107.25, 107.25, 48.39 degrees
Last column: nearest neighbours and their distance in Å.
Positions (direct):
Nd  0.0000  0.0000  0.0000  4 Bi 3.19-3.20
Nd  0.3266  0.3266  0.1658  5 Bi 3.21-3.22
Nd  0.3397  0.3397  0.6767  5 Bi 3.18-3.23
Nd  0.6603  0.6603  0.3233  5 Bi 3.18-3.23
Nd  0.6734  0.6734  0.8342  5 Bi 3.21-3.22
Sc  0.0000  0.0000  0.5000  6 Bi 3.05-3.21
Bi  0.1607  0.1607  0.8219  1 Sc 3.05, 5 Nd 3.19-3.22
Bi  0.1630  0.1630  0.3432  1 Sc 3.09, 5 Nd 3.20-3.23
Bi  0.5000  0.5000  0.5000  4 Nd 3.18-3.21, 2 Sc 3.21
Bi  0.8370  0.8370  0.6568  1 Sc 3.09, 5 Nd 3.20-3.23
Bi  0.8393  0.8393  0.1781  1 Sc 3.05, 5 Nd 3.19-3.22

## Properties
* energy of formation from the pure elements: -0.696 eV/atom
* SG: C2/m, No. 12

***

Record 3
Below is a relaxed Ba2SrTmSe4 crystal, with properties calculated at the PBE level.

Cell lengths 7.6703, 4.4022, 7.8085 Å; angles 90.00, 108.83, 90.00 degrees
Last column: nearest neighbours and their distance in Å.
Positions (direct):
Ba  0.0000  0.0000  0.0000  6 Se 3.36-3.38
Ba  0.5000  0.5000  0.0000  6 Se 3.23
Sr  0.0000  0.5000  0.5000  6 Se 3.09
Tm  0.5000  0.0000  0.5000  6 Se 2.92-2.95
Se  0.2578  0.0000  0.7212  1 Tm 2.92, 2 Sr 3.09, 2 Ba 3.23
Se  0.2765  0.5000  0.2864  2 Tm 2.95, 1 Sr 3.09, 1 Ba 3.23
Se  0.7235  0.5000  0.7136  2 Tm 2.95, 1 Sr 3.09, 1 Ba 3.23
Se  0.7422  0.0000  0.2788  1 Tm 2.92, 2 Sr 3.09, 2 Ba 3.23

## Properties
* energy relative to the elements, uncorrected: -15.4 eV per formula unit
* SG: P2/m, No. 10

***

Record 4
Below is a relaxed KCd2Hg crystal, with properties calculated at the PBE level.

Cell lengths 5.2503, 7.9291, 6.2633 Å; angles 90.00, 114.68, 90.00 degrees
Last column: nearest neighbours and their distance in Å.
Positions (direct):
K  0.0764  0.2500  0.1524  3 Hg 3.41-3.48, 10 Cd 3.65-3.80
K  0.9236  0.7500  0.8476  3 Hg 3.41-3.48, 10 Cd 3.65-3.80
Cd  0.3740  0.0627  0.7458  2 Cd 2.97-3.06, 3 Hg 3.01-3.22
Cd  0.3740  0.4373  0.7458  2 Cd 2.97-3.06, 3 Hg 3.01-3.22
Cd  0.6260  0.5627  0.2542  2 Cd 2.97-3.06, 3 Hg 3.01-3.22
Cd  0.6260  0.9373  0.2542  2 Cd 2.97-3.06, 3 Hg 3.01-3.22
Hg  0.2235  0.7500  0.4474  6 Cd 3.01-3.22
Hg  0.7765  0.2500  0.5526  6 Cd 3.01-3.22

## Properties
* energy of formation from the pure elements: -0.130 eV/atom
* SG: P2_1/m, No. 11

***

Record 5
Below is a relaxed PmHoTm crystal, with properties calculated at the PBE level.

Cell lengths 3.5542, 3.5542, 15.0913 Å; angles 90.00, 90.00, 90.00 degrees
Last column: nearest neighbours and their distance in Å.
Positions (direct):
Pm  0.0000  0.0000  0.0000  4 Pm 3.55, 4 Tm 3.57, 4 Ho 3.58
Pm  0.5000  0.5000  0.5000  4 Pm 3.55, 4 Tm 3.57, 4 Ho 3.58
Ho  0.0000  0.0000  0.3309  4 Tm 3.52, 4 Ho 3.55, 4 Pm 3.58
Ho  0.5000  0.5000  0.8309  4 Tm 3.52, 4 Ho 3.55, 4 Pm 3.58
Tm  0.0000  0.0000  0.6677  4 Ho 3.52, 4 Tm 3.55, 4 Pm 3.57
Tm  0.5000  0.5000  0.1677  4 Ho 3.52, 4 Tm 3.55, 4 Pm 3.57

## Properties
* energy of formation from the pure elements: 0.024 eV/atom
* SG: I4mm, No. 107
* energy relative to the lowest polymorph listed for this composition: 0.005 eV per atom

***

Record 6
Below is a relaxed Sc5Fe2 crystal, with properties calculated at the PBE level.

Cell lengths 7.7771, 7.7771, 6.6860 Å; angles 96.44, 96.44, 43.25 degrees
Last column: nearest neighbours and their distance in Å.
Positions (direct):
Sc  0.0868  0.9132  0.7500  4 Fe 2.64-2.67
Sc  0.1382  0.2956  0.3186  3 Fe 2.57-2.79
Sc  0.2929  0.5210  0.0868  2 Fe 2.50-2.57
Sc  0.2956  0.1382  0.8186  3 Fe 2.57-2.79
Sc  0.4790  0.7071  0.4132  2 Fe 2.50-2.57
Sc  0.5210  0.2929  0.5868  2 Fe 2.50-2.57
Sc  0.7044  0.8618  0.1814  3 Fe 2.57-2.79
Sc  0.7071  0.4790  0.9132  2 Fe 2.50-2.57
Sc  0.8618  0.7044  0.6814  3 Fe 2.57-2.79
Sc  0.9132  0.0868  0.2500  4 Fe 2.64-2.67
Fe  0.0985  0.6814  0.4217  7 Sc 2.50-2.79
Fe  0.3186  0.9015  0.0783  7 Sc 2.50-2.79
Fe  0.6814  0.0985  0.9217  7 Sc 2.50-2.79
Fe  0.9015  0.3186  0.5783  7 Sc 2.50-2.79

## Properties
* energy of formation from the pure elements: -0.090 eV/atom
* SG: C2/c, No. 15

***

Record 7
Below is a relaxed Y2Pu2Ru3 crystal, with properties calculated at the PBE level.

Cell lengths 8.7763, 8.7763, 8.7763 Å; angles 30.46, 30.46, 30.46 degrees
Last column: nearest neighbours and their distance in Å.
Positions (direct):
Y  0.1255  0.1255  0.1255  4 Ru 2.95-3.15
Y  0.8745  0.8745  0.8745  4 Ru 2.95-3.15
Pu  0.3773  0.3773  0.3773  7 Ru 2.78-2.99
Pu  0.6227  0.6227  0.6227  7 Ru 2.78-2.99
Ru  0.0000  0.0000  0.0000  6 Pu 2.88, 2 Y 3.15
Ru  0.2582  0.2582  0.2582  4 Pu 2.78-2.99, 3 Y 2.95
Ru  0.7418  0.7418  0.7418  4 Pu 2.78-2.99, 3 Y 2.95

## Properties
* energy of formation from the pure elements: -0.218 eV/atom
* SG: R-3m, No. 166
* energy relative to the lowest polymorph listed for this composition: 0.000 eV per atom

***

Record 8
Below is a relaxed Sm4Er3Tl4 crystal, with properties calculated at the PBE level.

Cell lengths 10.8562, 10.8562, 10.8562 Å; angles 160.69, 128.54, 55.47 degrees
Last column: nearest neighbours and their distance in Å.
Positions (direct):
Sm  0.0171  0.8389  0.1782  4 Tl 3.24-3.30, 1 Sm 3.36
Sm  0.3393  0.1611  0.1782  4 Tl 3.24-3.30, 1 Sm 3.36
Sm  0.6607  0.8389  0.8218  4 Tl 3.24-3.30, 1 Sm 3.36
Sm  0.9829  0.1611  0.8218  4 Tl 3.24-3.30, 1 Sm 3.36
Er  0.0000  0.5000  0.5000  4 Tl 3.21
Er  0.4057  0.4057  0.0000  6 Tl 3.11-3.30
Er  0.5943  0.5943  0.0000  6 Tl 3.11-3.30
Tl  0.2747  0.7747  0.5000  2 Er 3.11, 6 Sm 3.27-3.30
Tl  0.2807  0.0000  0.2807  6 Er 3.21-3.30, 2 Sm 3.24
Tl  0.7193  0.0000  0.7193  6 Er 3.21-3.30, 2 Sm 3.24
Tl  0.7253  0.2253  0.5000  2 Er 3.11, 6 Sm 3.27-3.30

## Properties
* energy of formation from the pure elements: -0.232 eV/atom
* SG: Immm, No. 71

***

Record 9
Below is a relaxed TcCl2 crystal, with properties calculated at the PBE level.

Cell lengths 11.1697, 3.5350, 8.7297 Å; angles 90.00, 128.29, 90.00 degrees
Last column: nearest neighbours and their distance in Å.
Positions (direct):
Tc  0.1782  0.0000  0.0515  5 Cl 2.37-2.43
Tc  0.3218  0.5000  0.9485  5 Cl 2.37-2.43
Tc  0.6782  0.5000  0.0515  5 Cl 2.37-2.43
Tc  0.8218  0.0000  0.9485  5 Cl 2.37-2.43
Cl  0.0622  0.5000  0.8203  3 Tc 2.37
Cl  0.2480  0.5000  0.2838  2 Tc 2.43
Cl  0.2520  0.0000  0.7162  2 Tc 2.43
Cl  0.4378  0.0000  0.1797  3 Tc 2.37
Cl  0.5622  0.0000  0.8203  3 Tc 2.37
Cl  0.7480  0.0000  0.2838  2 Tc 2.43
Cl  0.7520  0.5000  0.7162  2 Tc 2.43
Cl  0.9378  0.5000  0.1797  3 Tc 2.37

## Properties
* energy relative to the elements, uncorrected: -0.6 eV per formula unit
* SG: C2/m, No. 12
* energy relative to the lowest polymorph listed for this composition: 0.353 eV per atom

***

Record 10
Below is a relaxed AlSb2P crystal, with properties calculated at the PBE level.

Cell lengths 13.0402, 3.4189, 4.9029 Å; angles 90.00, 109.23, 90.00 degrees
Last column: nearest neighbours and their distance in Å.
Positions (direct):
Al  0.0000  0.0000  0.0000  2 P 2.38
Al  0.5000  0.5000  0.0000  2 P 2.38
Sb  0.1686  0.0000  0.5097  1 Al 2.73, 2 P 2.92
Sb  0.3549  0.0000  0.2181  1 P 2.56
Sb  0.6686  0.5000  0.5097  1 Al 2.73, 2 P 2.92
Sb  0.8549  0.5000  0.2181  1 P 2.56
P  0.0193  0.5000  0.6834  2 Al 2.38, 1 Sb 2.56
P  0.5193  0.0000  0.6834  2 Al 2.38, 1 Sb 2.56

## Properties
* energy relative to the elements, uncorrected: 0.4 eV per formula unit
* SG: Cm, No. 8
* energy relative to the lowest polymorph listed for this composition: 0.120 eV per atom

***

Record 11
Below is a relaxed Ge2Se crystal, with properties calculated at the PBE level.

Cell lengths 4.2232, 5.7129, 6.5329 Å; angles 103.68, 91.42, 99.45 degrees
Last column: nearest neighbours and their distance in Å.
Positions (direct):
Ge  0.0000  0.0000  0.0000  1 Ge 2.59, 2 Se 2.67-2.72
Ge  0.0948  0.2117  0.6917  1 Se 2.50, 3 Ge 2.54-2.59
Ge  0.1905  0.6580  0.3543  2 Se 2.58-2.66, 1 Ge 2.58
Ge  0.5600  0.0795  0.4739  1 Se 2.49, 3 Ge 2.54-2.58
Se  0.2914  0.6600  0.7459  3 Ge 2.50-2.72
Se  0.5231  0.3073  0.1952  3 Ge 2.49-2.67

## Properties
* energy relative to the elements, uncorrected: 0.0 eV per formula unit
* SG: P1, No. 1
* energy relative to the lowest polymorph listed for this composition: 0.056 eV per atom

***

Record 12
Below is a relaxed Pr5HoEr crystal, with properties calculated at the PBE level.

Cell lengths 5.9551, 8.9077, 12.2495 Å; angles 90.00, 90.00, 90.00 degrees
Last column: nearest neighbours and their distance in Å.
Positions (direct):
Pr  0.0000  0.0000  0.0000  2 Er 2.98
Pr  0.0000  0.1765  0.5000  1 Er 2.88, 1 Pr 3.14
Pr  0.0000  0.5000  0.2516  1 Er 3.04, 1 Ho 3.08
Pr  0.0000  0.5000  0.7484  1 Er 3.04, 1 Ho 3.08
Pr  0.0000  0.8235  0.5000  1 Er 2.88, 1 Pr 3.14
Pr  0.5000  0.0000  0.2484  1 Er 3.04, 1 Ho 3.08
Pr  0.5000  0.0000  0.7516  1 Er 3.04, 1 Ho 3.08
Pr  0.5000  0.3235  0.0000  1 Er 2.88, 1 Pr 3.14
Pr  0.5000  0.5000  0.5000  2 Er 2.98
Pr  0.5000  0.6765  0.0000  1 Er 2.88, 1 Pr 3.14
Ho  0.0000  0.5000  0.0000  6 Pr 3.08-3.37
Ho  0.5000  0.0000  0.5000  6 Pr 3.08-3.37
Er  0.0000  0.5000  0.5000  6 Pr 2.88-3.04
Er  0.5000  0.0000  0.0000  6 Pr 2.88-3.04

## Properties
* energy of formation from the pure elements: 0.960 eV/atom
* SG: Immm, No. 71

***

Result set for N(E_F): 1.212 6.417 2.664 4.931 8.420 14.065 11.975 10.464 9.592 2.849 0.212 25.627 states/eV per cell, one per record in the order listed.
Result set for total magnetic moment: 0.000 0.000 0.000 0.000 0.000 0.000 1.201 0.000 0.000 0.000 0.000 0.000 μB per atom, one per record in the order listed.